A relaxed structure of AcTbSm2Tm5, computed with PBE.

## Properties
energy relative to the elements	0.264	eV/atom
D(E_F)	1.10	states/eV/atom
spin magnetization	0.0	μB/f.u.
final energy	-38.16	eV per formula unit
crystal system	tetragonal

a b c (Å): 8.826 8.826 15.279
angles (deg): 90.00 90.00 90.00
Space group I4/mcm (No. 140)
Inequivalent atoms, fractional coordinates:
Ac: 0.000 0.000 0.250
Tb: 0.000 0.500 0.250
Sm: 0.115 0.385 0.000
Tm: 0.000 0.000 0.000
Tm: 0.206 0.294 0.369



A relaxed structure of AcTb5Sm2Tm, computed with PBE.

## Properties
energy relative to the elements	0.269	eV/atom
D(E_F)	1.06	states/eV/atom
spin magnetization	0.0	μB/f.u.
final energy	-38.74	eV per formula unit
crystal system	tetragonal

a b c (Å): 8.897 8.897 15.448
angles (deg): 90.00 90.00 90.00
Space group I4/mcm (No. 140)
Inequivalent atoms, fractional coordinates:
Ac: 0.000 0.000 0.250
Tb: 0.000 0.000 0.000
Tb: 0.205 0.295 0.132
Sm: 0.116 0.384 0.500
Tm: 0.000 0.500 0.250



A relaxed structure of AcTb2Sm6Tm, computed with PBE.

## Properties
energy relative to the elements	0.123	eV/atom
D(E_F)	1.39	states/eV/atom
spin magnetization	0.0	μB/f.u.
final energy	-44.92	eV per formula unit
crystal system	monoclinic

a b c (Å): 9.327 15.467 9.631
angles (deg): 90.00 95.32 90.00
Space group C2/c (No. 15)
Inequivalent atoms, fractional coordinates:
Ac: 0.000 0.026 0.250
Tb: 0.238 0.443 0.452
Sm: 0.058 0.188 0.945
Sm: 0.103 0.390 0.116
Sm: 0.216 0.226 0.314
Tm: 0.000 0.413 0.750



A relaxed structure of AcTb2SmTm4, computed with PBE.

## Properties
energy relative to the elements	0.046	eV/atom
D(E_F)	1.49	states/eV/atom
spin magnetization	0.0	μB/f.u.
final energy	-35.60	eV per formula unit
crystal system	orthorhombic

a b c (Å): 5.097 5.130 9.984
angles (deg): 90.00 90.00 90.00
Space group Pmmm (No. 47)
Inequivalent atoms, fractional coordinates:
Ac: 0.000 0.000 0.000
Tb: 0.000 0.000 0.500
Tb: 0.500 0.500 0.000
Sm: 0.500 0.500 0.500
Tm: 0.000 0.500 0.257
Tm: 0.500 0.000 0.258



A relaxed structure of AcTbSm6Tm2, computed with PBE.

## Properties
energy relative to the elements	0.124	eV/atom
D(E_F)	1.44	states/eV/atom
spin magnetization	0.0	μB/f.u.
final energy	-44.76	eV per formula unit
crystal system	monoclinic

a b c (Å): 9.369 15.298 9.642
angles (deg): 90.00 95.37 90.00
Space group C2/c (No. 15)
Inequivalent atoms, fractional coordinates:
Ac: 0.000 0.031 0.250
Tb: 0.000 0.412 0.750
Sm: 0.062 0.183 0.945
Sm: 0.098 0.388 0.117
Sm: 0.220 0.228 0.319
Tm: 0.240 0.446 0.451



A relaxed structure of AcTbSm2Tm, computed with PBE.

## Properties
energy relative to the elements	0.045	eV/atom
D(E_F)	1.75	states/eV/atom
spin magnetization	0.0	μB/f.u.
final energy	-22.42	eV per formula unit
crystal system	monoclinic

a b c (Å): 6.415 5.862 9.818
angles (deg): 90.00 108.67 90.00
Space group P2_1/m (No. 11)
Inequivalent atoms, fractional coordinates:
Ac: 0.136 0.250 0.106
Tb: 0.479 0.750 0.107
Sm: 0.265 0.750 0.698
Sm: 0.338 0.250 0.502
Tm: 0.067 0.750 0.311



A relaxed structure of AcTb6Sm3Tm2, computed with PBE.

## Properties
energy relative to the elements	0.028	eV/atom
D(E_F)	1.28	states/eV/atom
spin magnetization	0.0	μB/f.u.
final energy	-54.65	eV per formula unit
crystal system	monoclinic

a b c (Å): 6.233 10.789 11.949
angles (deg): 90.00 99.97 90.00
Space group C2/m (No. 12)
Inequivalent atoms, fractional coordinates:
Ac: 0.000 0.000 0.000
Tb: 0.247 0.332 0.749
Tb: 0.247 0.500 0.252
Sm: 0.000 0.167 0.500
Sm: 0.000 0.500 0.500
Tm: 0.000 0.333 0.000



A relaxed structure of AcTbSm2Tm4, computed with PBE.

## Properties
energy relative to the elements	0.044	eV/atom
D(E_F)	1.48	states/eV/atom
spin magnetization	0.0	μB/f.u.
final energy	-35.71	eV per formula unit
crystal system	orthorhombic

a b c (Å): 5.116 5.143 9.976
angles (deg): 90.00 90.00 90.00
Space group Pmmm (No. 47)
Inequivalent atoms, fractional coordinates:
Ac: 0.000 0.000 0.000
Tb: 0.500 0.500 0.500
Sm: 0.000 0.000 0.500
Sm: 0.500 0.500 0.000
Tm: 0.000 0.500 0.258
Tm: 0.500 0.000 0.258



A relaxed structure of AcTbSm3Tm, computed with PBE.

## Properties
energy relative to the elements	0.040	eV/atom
D(E_F)	1.54	states/eV/atom
spin magnetization	0.0	μB/f.u.
final energy	-27.12	eV per formula unit
crystal system	orthorhombic

a b c (Å): 5.158 15.589 10.297
angles (deg): 90.00 90.00 90.00
Space group Cmcm (No. 63)
Inequivalent atoms, fractional coordinates:
Ac: 0.000 0.000 0.000
Tb: 0.000 0.168 0.250
Sm: 0.000 0.169 0.750
Sm: 0.000 0.330 0.000
Tm: 0.000 0.499 0.750



A relaxed structure of AcTb2SmTm, computed with PBE.

## Properties
energy relative to the elements	0.395	eV/atom
D(E_F)	1.75	states/eV/atom
spin magnetization	0.0	μB/f.u.
final energy	-20.58	eV per formula unit
crystal system	orthorhombic

a b c (Å): 6.467 17.597 6.454
angles (deg): 90.00 90.00 90.00
Space group Cmcm (No. 63)
Inequivalent atoms, fractional coordinates:
Ac: 0.000 0.159 0.250
Tb: 0.248 0.500 0.000
Sm: 0.000 0.347 0.250
Tm: 0.000 0.251 0.750



A relaxed structure of AcTb6SmTm2, computed with PBE.

## Properties
energy relative to the elements	0.129	eV/atom
D(E_F)	1.48	states/eV/atom
spin magnetization	0.0	μB/f.u.
final energy	-44.26	eV per formula unit
crystal system	monoclinic

a b c (Å): 9.274 15.193 9.565
angles (deg): 90.00 95.12 90.00
Space group C2/c (No. 15)
Inequivalent atoms, fractional coordinates:
Ac: 0.000 0.032 0.250
Tb: 0.063 0.185 0.943
Tb: 0.098 0.389 0.117
Tb: 0.216 0.231 0.322
Sm: 0.000 0.411 0.750
Tm: 0.243 0.444 0.451



A relaxed structure of AcTbSm5Tm2, computed with PBE.

## Properties
energy relative to the elements	0.088	eV/atom
D(E_F)	1.53	states/eV/atom
spin magnetization	0.0	μB/f.u.
final energy	-40.49	eV per formula unit
crystal system	orthorhombic

a b c (Å): 5.780 17.458 12.107
angles (deg): 90.00 90.00 90.00
Space group Cmc2_1 (No. 36)
Inequivalent atoms, fractional coordinates:
Ac: 0.000 0.113 0.000
Tb: 0.000 0.249 0.500
Sm: 0.000 0.079 0.340
Sm: 0.000 0.081 0.665
Sm: 0.000 0.269 0.205
Sm: 0.000 0.269 0.796
Sm: 0.000 0.440 0.648
Tm: 0.000 0.389 0.999
Tm: 0.000 0.438 0.353



A relaxed structure of AcTb3Sm6Tm2, computed with PBE.

## Properties
energy relative to the elements	0.029	eV/atom
D(E_F)	1.29	states/eV/atom
spin magnetization	0.0	μB/f.u.
final energy	-54.91	eV per formula unit
crystal system	monoclinic

a b c (Å): 6.266 10.850 12.000
angles (deg): 90.00 100.03 90.00
Space group C2/m (No. 12)
Inequivalent atoms, fractional coordinates:
Ac: 0.000 0.000 0.000
Tb: 0.000 0.167 0.500
Tb: 0.000 0.500 0.500
Sm: 0.247 0.332 0.747
Sm: 0.248 0.500 0.253
Tm: 0.000 0.333 0.000



A relaxed structure of Ac3TbSm2Y6, computed with PBE.

## Properties
energy relative to the elements	0.042	eV/atom
D(E_F)	1.20	states/eV/atom
spin magnetization	0.0	μB/f.u.
final energy	-64.67	eV per formula unit
crystal system	monoclinic

a b c (Å): 6.431 11.137 11.993
angles (deg): 90.00 100.28 90.00
Space group C2/m (No. 12)
Inequivalent atoms, fractional coordinates:
Ac: 0.000 0.000 0.000
Ac: 0.000 0.333 0.000
Tb: 0.000 0.500 0.500
Sm: 0.000 0.167 0.500
Y: 0.247 0.334 0.742
Y: 0.248 0.000 0.742



A relaxed structure of AcTb3Sm6Y2, computed with PBE.

## Properties
energy relative to the elements	0.026	eV/atom
D(E_F)	1.35	states/eV/atom
spin magnetization	0.0	μB/f.u.
final energy	-58.93	eV per formula unit
crystal system	monoclinic

a b c (Å): 6.292 10.893 12.059
angles (deg): 90.00 100.02 90.00
Space group C2/m (No. 12)
Inequivalent atoms, fractional coordinates:
Ac: 0.000 0.000 0.000
Tb: 0.000 0.167 0.500
Tb: 0.000 0.500 0.500
Sm: 0.247 0.332 0.745
Sm: 0.249 0.500 0.255
Y: 0.000 0.333 0.000



A relaxed structure of Ac2TbSmY, computed with PBE.

## Properties
energy relative to the elements	0.273	eV/atom
D(E_F)	1.32	states/eV/atom
spin magnetization	0.0	μB/f.u.
final energy	-22.67	eV per formula unit
crystal system	orthorhombic

a b c (Å): 6.433 8.938 6.777
angles (deg): 90.00 90.00 90.00
Space group Pmma (No. 51)
Inequivalent atoms, fractional coordinates:
Ac: 0.250 0.203 0.206
Tb: 0.000 0.500 0.500
Sm: 0.250 0.500 0.916
Y: 0.250 0.000 0.676



A relaxed structure of Ac2Tb3SmY6, computed with PBE.

## Properties
energy relative to the elements	0.038	eV/atom
D(E_F)	1.31	states/eV/atom
spin magnetization	0.0	μB/f.u.
final energy	-65.15	eV per formula unit
crystal system	monoclinic

a b c (Å): 6.339 10.975 11.956
angles (deg): 90.00 100.16 90.00
Space group C2/m (No. 12)
Inequivalent atoms, fractional coordinates:
Ac: 0.000 0.167 0.000
Tb: 0.000 0.000 0.500
Tb: 0.000 0.333 0.500
Sm: 0.000 0.500 0.000
Y: 0.245 0.500 0.743
Y: 0.248 0.166 0.743



A relaxed structure of AcTbSm2Y, computed with PBE.

## Properties
energy relative to the elements	0.041	eV/atom
D(E_F)	1.76	states/eV/atom
spin magnetization	0.0	μB/f.u.
final energy	-24.44	eV per formula unit
crystal system	monoclinic

a b c (Å): 6.453 5.887 9.870
angles (deg): 90.00 108.82 90.00
Space group P2_1/m (No. 11)
Inequivalent atoms, fractional coordinates:
Ac: 0.071 0.250 0.301
Tb: 0.340 0.750 0.501
Sm: 0.273 0.250 0.703
Sm: 0.465 0.250 0.096
Y: 0.137 0.750 0.098



A relaxed structure of AcTb2SmY5, computed with PBE.

## Properties
energy relative to the elements	0.157	eV/atom
D(E_F)	1.39	states/eV/atom
spin magnetization	0.0	μB/f.u.
final energy	-49.00	eV per formula unit
crystal system	orthorhombic

a b c (Å): 5.596 23.859 9.407
angles (deg): 90.00 90.00 90.00
Space group Cmc2_1 (No. 36)
Inequivalent atoms, fractional coordinates:
Ac: 0.000 0.102 0.000
Tb: 0.000 0.332 0.248
Tb: 0.000 0.387 0.855
Sm: 0.000 0.261 0.607
Y: 0.000 0.024 0.318
Y: 0.000 0.103 0.601
Y: 0.000 0.191 0.299
Y: 0.000 0.243 0.935
Y: 0.000 0.493 0.091